# BaLi2Ru PBE relaxed
# **Total magnetic moment**: 0.15 μB/cell
# **Total DFT energy (no corrections)**: -3.384 eV per atom
# **ΔH_f (0 K)**: 0.37 eV/atom
# **Space group**: No. 160
data_BaLi2Ru
_chemical_formula_sum 'Ba1 Li2 Ru1'
_space_group_name_H-M_alt 'P 1'
_space_group_IT_number 1
_cell_length_a 4.495
_cell_length_b 4.495
_cell_length_c 5.954
_cell_angle_alpha 67.78
_cell_angle_beta 67.78
_cell_angle_gamma 59.95
loop_
_space_group_symop_operation_xyz
'x,y,z'
loop_
_atom_site_label
_atom_site_type_symbol
_atom_site_fract_x
_atom_site_fract_y
_atom_site_fract_z
_atom_site_occupancy
Ba1 Ba 0.754 0.754 0.741 1
Ru1 Ru 0.557 0.557 0.327 1
Li1 Li 0.943 0.943 0.172 1
Li2 Li 0.246 0.246 0.260 1